LiInSb2 | PBE | optimized geometry

Lattice parameters (Å, degrees): 4.531 4.531 9.839 90.00 90.00 90.00
Element x y z (fractional)
Li1 0.000 0.000 0.000
Li2 0.500 0.500 0.500
In1 0.000 0.500 0.250
In2 0.500 0.000 0.750
Sb1 0.000 0.000 0.500
Sb2 0.000 0.500 0.750
Sb3 0.500 0.000 0.250
Sb4 0.500 0.500 0.000

## Properties
The calculation puts the uncorrected formation energy at -0.074 eV/atom. The total magnetization is 0.00 Bohr magnetons per cell. The density is 6.0 g cm⁻³.